# 1
First-principles (GGA-PBE) data for crystalline SrPuCl2F6 at its relaxed geometry, as listed in Alexandria via LeMat-Bulk.

Unit cell a=6.5279 b=6.5279 c=15.9627 alpha=90.00 beta=90.00 gamma=120.00
Space group R-3m (No. 166, hexagonal axes)
Inequivalent atoms, fractional coordinates:
Sr 0.0000 0.0000 0.0000 (multiplicity 3)
Pu 0.0000 0.0000 0.5000 (multiplicity 3)
Cl 0.0000 0.0000 0.2499 (multiplicity 6)
F 0.0295 0.5148 0.2427 (multiplicity 18)

Computed properties:
total energy: -0.213 Ha/atom
V: 589 Å³ per cell

---

# 2
First-principles (GGA-PBE) data for crystalline ZrCd2Os at its relaxed geometry, as listed in Alexandria via LeMat-Bulk.

Unit cell a=3.2155 b=3.2462 c=7.7964 alpha=90.00 beta=90.00 gamma=90.00
Space group Pmm2 (No. 25)
Inequivalent atoms, fractional coordinates:
Zr 0.0000 0.0000 0.0000 (multiplicity 1)
Cd 0.0000 0.0000 0.4240 (multiplicity 1)
Cd 0.5000 0.5000 0.6954 (multiplicity 1)
Os 0.5000 0.5000 0.1876 (multiplicity 1)

Computed properties:
V: 81 Å³ per cell
relative energy among the computed polymorphs: 0.000 eV/atom
ΔE_f: -0.007 eV per atom

---

# 3
First-principles (GGA-PBE) data for crystalline TlZnMo2 at its relaxed geometry, as listed in Alexandria via LeMat-Bulk.

Unit cell a=3.9088 b=3.9088 c=4.4835 alpha=90.00 beta=90.00 gamma=90.00
Space group P4/mmm (No. 123)
Inequivalent atoms, fractional coordinates:
Tl 0.0000 0.0000 0.0000 (multiplicity 1)
Zn 0.5000 0.5000 0.0000 (multiplicity 1)
Mo 0.0000 0.5000 0.5000 (multiplicity 2)

Computed properties:
V: 69 Å³ per cell
relative energy among the computed polymorphs: 0.233 eV/atom
ΔE_f: 0.569 eV per atom

---

# 4
First-principles (GGA-PBE) data for crystalline Ac2LaGe3Pt4 at its relaxed geometry, as listed in Alexandria via LeMat-Bulk.

Unit cell a=4.4987 b=4.4987 c=11.2961 alpha=90.00 beta=90.00 gamma=90.00
Space group P-4m2 (No. 115)
Inequivalent atoms, fractional coordinates:
Ac 0.0000 0.5000 0.2227 (multiplicity 2)
La 0.0000 0.0000 0.5000 (multiplicity 1)
Ge 0.0000 0.5000 0.8865 (multiplicity 2)
Ge 0.5000 0.5000 0.5000 (multiplicity 1)
Pt 0.0000 0.0000 0.0000 (multiplicity 1)
Pt 0.0000 0.5000 0.6639 (multiplicity 2)
Pt 0.5000 0.5000 0.0000 (multiplicity 1)

Computed properties:
V: 229 Å³ per cell
ΔE_f: -0.941 eV per atom

---

# 5
First-principles (GGA-PBE) data for crystalline TlAg2RuBr8 at its relaxed geometry, as listed in Alexandria via LeMat-Bulk.

Unit cell a=6.8521 b=8.0771 c=7.2403 alpha=90.00 beta=109.01 gamma=90.00
Space group P2/m (No. 10)
Inequivalent atoms, fractional coordinates:
Tl 0.0000 0.0000 0.0000 (multiplicity 1)
Ag 0.0000 0.2472 0.5000 (multiplicity 2)
Ru 0.0000 0.5000 0.0000 (multiplicity 1)
Br 0.1948 0.5000 0.7621 (multiplicity 2)
Br 0.2360 0.0000 0.7332 (multiplicity 2)
Br 0.2358 0.2799 0.1990 (multiplicity 4)

Computed properties:
total energy: -0.108 Ha/atom
V: 379 Å³ per cell

---

# 6
First-principles (GGA-PBE) data for crystalline LaPuPaSn at its relaxed geometry, as listed in Alexandria via LeMat-Bulk.

Unit cell a=7.5727 b=7.5727 c=7.5727 alpha=90.00 beta=90.00 gamma=90.00
Space group F-43m (No. 216)
Inequivalent atoms, fractional coordinates:
La 0.0000 0.0000 0.0000 (multiplicity 4)
Pu 0.0000 0.0000 0.5000 (multiplicity 4)
Pa 0.2500 0.2500 0.2500 (multiplicity 4)
Sn 0.2500 0.2500 0.7500 (multiplicity 4)

Computed properties:
V: 434 Å³ per cell
ΔE_f: -0.006 eV per atom

---

# 7
First-principles (GGA-PBE) data for crystalline MgAs2Pd3 at its relaxed geometry, as listed in Alexandria via LeMat-Bulk.

Unit cell a=17.0300 b=3.8666 c=10.0206 alpha=90.00 beta=106.49 gamma=90.00
Space group C2/m (No. 12)
Inequivalent atoms, fractional coordinates:
Mg 0.0000 0.0000 0.0000 (multiplicity 2)
Mg 0.1697 0.0000 0.7150 (multiplicity 4)
As 0.0485 0.5000 0.7725 (multiplicity 4)
As 0.1368 0.5000 0.4567 (multiplicity 4)
As 0.1886 0.0000 0.1253 (multiplicity 4)
Pd 0.0000 0.5000 0.5000 (multiplicity 2)
Pd 0.0452 0.0000 0.3194 (multiplicity 4)
Pd 0.1014 0.5000 0.1669 (multiplicity 4)
Pd 0.1835 0.5000 0.9514 (multiplicity 4)
Pd 0.2257 0.0000 0.3820 (multiplicity 4)

Computed properties:
V: 633 Å³ per cell
ΔE_f: -0.444 eV per atom

---

# 8
First-principles (GGA-PBE) data for crystalline NaHg6Pb12 at its relaxed geometry, as listed in Alexandria via LeMat-Bulk.

Unit cell a=11.5178 b=11.5178 c=14.5976 alpha=90.00 beta=90.00 gamma=120.00
Space group R-3 (No. 148, hexagonal axes)
Inequivalent atoms, fractional coordinates:
Na 0.0000 0.0000 0.0000 (multiplicity 3)
Hg 0.0336 0.5915 0.7071 (multiplicity 18)
Pb 0.0269 0.8390 0.8157 (multiplicity 18)
Pb 0.0592 0.2091 0.4072 (multiplicity 18)

Computed properties:
V: 1677 Å³ per cell
relative energy among the computed polymorphs: 0.000 eV/atom
ΔE_f: 0.024 eV per atom

---

# 9
First-principles (GGA-PBE) data for crystalline GaH2Rh2 at its relaxed geometry, as listed in Alexandria via LeMat-Bulk.

Unit cell a=5.6469 b=8.3041 c=5.1541 alpha=90.00 beta=123.13 gamma=90.00
Space group C2/c (No. 15)
Inequivalent atoms, fractional coordinates:
Ga 0.0000 0.1253 0.2500 (multiplicity 4)
H 0.1263 0.3750 0.0010 (multiplicity 8)
Rh 0.0000 0.1743 0.7500 (multiplicity 4)
Rh 0.0000 0.4248 0.2500 (multiplicity 4)

Computed properties:
V: 202 Å³ per cell
relative energy among the computed polymorphs: 0.107 eV/atom

---

# 10
First-principles (GGA-PBE) data for crystalline PrTm6Sc3 at its relaxed geometry, as listed in Alexandria via LeMat-Bulk.

Unit cell a=10.2141 b=18.5712 c=6.1503 alpha=90.00 beta=90.00 gamma=90.00
Space group Cmc2_1 (No. 36)
Inequivalent atoms, fractional coordinates:
Pr 0.0000 0.2104 0.0000 (multiplicity 4)
Tm 0.0000 0.0458 0.6525 (multiplicity 4)
Tm 0.0000 0.3150 0.4557 (multiplicity 4)
Tm 0.1696 0.4626 0.3016 (multiplicity 8)
Tm 0.2296 0.2051 0.6445 (multiplicity 8)
Sc 0.0000 0.3853 0.9173 (multiplicity 4)
Sc 0.1935 0.1121 0.2196 (multiplicity 8)

Computed properties:
V: 1167 Å³ per cell
relative energy among the computed polymorphs: 0.138 eV/atom
ΔE_f: 0.162 eV per atom

---

# 11
First-principles (GGA-PBE) data for crystalline TmVN at its relaxed geometry, as listed in Alexandria via LeMat-Bulk.

Unit cell a=4.0427 b=4.0427 c=7.4604 alpha=90.00 beta=90.00 gamma=90.00
Space group I4mm (No. 107)
Inequivalent atoms, fractional coordinates:
Tm 0.0000 0.0000 0.0000 (multiplicity 2)
V 0.0000 0.0000 0.4799 (multiplicity 2)
N 0.0000 0.0000 0.7062 (multiplicity 2)

Computed properties:
V: 122 Å³ per cell
relative energy among the computed polymorphs: 0.819 eV/atom

---

# 12
First-principles (GGA-PBE) data for crystalline Ni2MoRh2 at its relaxed geometry, as listed in Alexandria via LeMat-Bulk.

Unit cell a=6.9696 b=6.9696 c=2.7524 alpha=90.00 beta=90.00 gamma=90.00
Space group P4/mbm (No. 127)
Inequivalent atoms, fractional coordinates:
Ni 0.1259 0.3741 0.0000 (multiplicity 4)
Mo 0.0000 0.0000 0.0000 (multiplicity 2)
Rh 0.1713 0.6713 0.5000 (multiplicity 4)

Computed properties:
V: 134 Å³ per cell
relative energy among the computed polymorphs: 0.213 eV/atom
ΔE_f: 0.109 eV per atom